DFT (PBE-GGA) results for crystalline NaMg8In6 at its relaxed geometry.

Cell and atoms, written as extended XYZ:
```
15
Lattice="4.298 2.482 6.133 -4.298 2.482 6.133 0.000 -4.963 6.133" Properties=species:S:1:pos:R:3 pbc="T T T"
Na 0.000 0.000 0.000
Mg -1.422 -2.492 8.239
Mg -2.869 -0.015 10.160
Mg 0.000 0.000 6.099
Mg -1.448 2.478 8.239
Mg 1.448 -2.478 10.160
Mg 0.000 0.000 12.301
Mg 2.869 0.015 8.239
Mg 1.422 2.493 10.160
In -2.832 -0.048 7.223
In -1.375 -2.476 11.177
In 1.457 -2.429 7.223
In -1.457 2.429 11.177
In 1.375 2.476 7.223
In 2.832 0.048 11.177
```

Magnetic moment = 0.000 μB/atom
E = -2.01 eV per atom
Energy of formation from the pure elements = 19 meV per atom